[1]
Material: V8Co2Ge
Method: DFT, GGA-PBE
State: relaxed

Cell lengths 5.6688, 5.9906, 5.9906 Å; angles 48.18, 104.69, 104.69 degrees
With the nearest neighbours (Å) after each atom.
Sites, in units of the cell vectors:
V 0.4090 0.3552 0.8328  5 V 2.34-2.60, 1 Co 2.38, 1 Ge 2.60
V 0.5910 0.6448 0.1672  5 V 2.34-2.60, 1 Co 2.38, 1 Ge 2.60
V 0.4090 0.8328 0.3552  5 V 2.34-2.60, 1 Co 2.38, 1 Ge 2.60
V 0.2102 0.8050 0.8050  3 Co 2.42-2.59, 3 V 2.47-2.49
Ge 0.0000 0.0000 0.0000  2 Co 2.49, 10 V 2.60-2.74
V 0.5910 0.1672 0.6448  5 V 2.34-2.60, 1 Co 2.38, 1 Ge 2.60
V 0.0853 0.4086 0.4086  1 Co 2.33, 4 V 2.45-2.60
V 0.9147 0.5914 0.5914  1 Co 2.33, 4 V 2.45-2.60
V 0.7898 0.1950 0.1950  3 Co 2.42-2.59, 3 V 2.47-2.49
Co 0.7695 0.7707 0.7707  6 V 2.33-2.59, 1 Ge 2.49
Co 0.2305 0.2293 0.2293  6 V 2.33-2.59, 1 Ge 2.49

The value obtained for the formation energy from the elements is 76 kJ/mol of formula units. Its symmetry is C2/m. For the density of states at the Fermi level, the calculation gives 1.026 states/eV per atom. Its total magnetic moment is 0.00 μB/atom.


[2]
Material: Li2TcCl
Method: DFT, GGA-PBE
State: relaxed

Cell lengths 5.3859, 5.3859, 5.3859 Å; angles 140.98, 140.98, 56.37 degrees
With the nearest neighbours (Å) after each atom.
Sites, in units of the cell vectors:
Cl 0.7500 0.2500 0.5000  4 Li 2.54
Tc 0.5000 0.5000 0.0000  4 Li 2.54
Li 0.2500 0.7500 0.5000  4 Cl 2.54
Li 0.0000 0.0000 0.0000  4 Tc 2.54

The energy relative to the elements, uncorrected comes out at 1.10 eV/f.u. The value obtained for the energy above the lowest structure with this stoichiometry is 0.533 eV/atom. Its symmetry is I-4m2. For the density of states at the Fermi level, the calculation gives 0.251 states/eV per atom. Its total magnetic moment is 0.61 μB/atom.